Record 1
TlAgOs2 | meta-GGA SCAN | PBEsol geometry

Results
E_form	948.1	meV per atom
E above lowest polymorph	171.3	meV/atom
volume	17.528	Å³ per atom
final energy	-60.92	eV/atom

```
data_TlAgOs2
_cell_length_a 2.802
_cell_length_b 4.722
_cell_length_c 10.599
_cell_angle_alpha 90.00
_cell_angle_beta 90.00
_cell_angle_gamma 90.00
_symmetry_space_group_name_H-M 'I m m 2'
_symmetry_Int_Tables_number 44
_symmetry_space_group_name_Hall 'I 2 -2'
loop_
_atom_site_label
_atom_site_type_symbol
_atom_site_fract_x
_atom_site_fract_y
_atom_site_fract_z
Tl1 Tl 0.000 0.000 0.000
Ag1 Ag 0.000 0.500 0.798
Os1 Os 0.000 0.000 0.563
Os2 Os 0.000 0.500 0.256
```

Record 2
LaTcSb3 | meta-GGA SCAN | PBEsol geometry

Results
formation energy from raw total energies	1.3621	eV per atom
volume	39.841	Å³ per atom
final energy	-36.63	eV/atom

```
data_LaTcSb3
_cell_length_a 5.840
_cell_length_b 5.840
_cell_length_c 5.840
_cell_angle_alpha 90.00
_cell_angle_beta 90.00
_cell_angle_gamma 90.00
_symmetry_space_group_name_H-M 'P m -3 m'
_symmetry_Int_Tables_number 221
_symmetry_space_group_name_Hall '-P 4 2 3'
loop_
_atom_site_label
_atom_site_type_symbol
_atom_site_fract_x
_atom_site_fract_y
_atom_site_fract_z
La1 La 0.000 0.000 0.000
Tc1 Tc 0.500 0.500 0.500
Sb1 Sb 0.000 0.000 0.500
```

Record 3
Ba2Ni | meta-GGA SCAN | PBEsol geometry

Results
E_form	199.3	meV per atom
volume	35.294	Å³ per atom
final energy	-31.56	eV/atom

```
data_Ba2Ni
_cell_length_a 14.730
_cell_length_b 5.366
_cell_length_c 5.358
_cell_angle_alpha 90.00
_cell_angle_beta 90.00
_cell_angle_gamma 90.00
_symmetry_space_group_name_H-M 'C m c m'
_symmetry_Int_Tables_number 63
_symmetry_space_group_name_Hall '-C 2c 2'
loop_
_atom_site_label
_atom_site_type_symbol
_atom_site_fract_x
_atom_site_fract_y
_atom_site_fract_z
Ba1 Ba 0.120 0.249 0.250
Ni1 Ni 0.000 0.253 0.750
```

Record 4
Be4CdPb | meta-GGA SCAN | PBEsol geometry

Results
E_form	512.2	meV per atom
volume	13.888	Å³ per atom
final energy	-20.09	eV/atom

```
data_Be4CdPb
_cell_length_a 6.933
_cell_length_b 6.933
_cell_length_c 6.933
_cell_angle_alpha 90.00
_cell_angle_beta 90.00
_cell_angle_gamma 90.00
_symmetry_space_group_name_H-M 'F -4 3 m'
_symmetry_Int_Tables_number 216
_symmetry_space_group_name_Hall 'F -4 2 3'
loop_
_atom_site_label
_atom_site_type_symbol
_atom_site_fract_x
_atom_site_fract_y
_atom_site_fract_z
Be1 Be 0.122 0.122 0.378
Cd1 Cd 0.250 0.250 0.750
Pb1 Pb 0.000 0.000 0.000
```